A plane-wave DFT calculation with meta-GGA SCAN was carried out for Co2B4Mo at its PBEsol-relaxed geometry.

Output
Total moment: 0.0016 μB per atom
Calculated formation energy: -7.83 kcal/mol of atoms
Crystal system: orthorhombic

Unit cell a=3.0068 b=3.0276 c=6.5325 alpha=103.40 beta=103.31 gamma=90.00
Fractional coordinates of all 7 atoms:
Mo 0.5000 0.0000 0.0000
B 0.9254 0.4254 0.8508
B 0.0746 0.5746 0.1492
B 0.3478 0.3478 0.6955
B 0.6522 0.6522 0.3045
Co 0.8146 0.8146 0.6292
Co 0.1854 0.1854 0.3708

A plane-wave DFT calculation with meta-GGA SCAN was carried out for KYTiIr2 at its PBEsol-relaxed geometry.

Output
Total moment: 0.4166 μB per atom
Calculated formation energy: 33.31 kcal/mol of atoms
Crystal system: tetragonal

Unit cell a=4.9438 b=4.9438 c=5.0319 alpha=90.00 beta=90.00 gamma=90.00
Last column: magnetic moment on the atom in μB.
Fractional coordinates of all 5 atoms:
Y 0.0000 0.0000 0.0000  0.04
K 0.0000 0.0000 0.5000  0.03
Ir 0.0000 0.5000 0.0000  -0.12
Ir 0.5000 0.0000 0.0000  -0.12
Ti 0.5000 0.5000 0.5000  1.71

A plane-wave DFT calculation with meta-GGA SCAN was carried out for TlTe2Pd at its PBEsol-relaxed geometry.

Output
Total moment: 0.0000 μB per atom
Uncorrected formation energy: 0.246 eV/atom
Crystal system: cubic

Unit cell a=5.1123 b=5.1123 c=5.1123 alpha=60.00 beta=60.00 gamma=60.00
Fractional coordinates of all 4 atoms:
Tl 0.5000 0.5000 0.5000
Te 0.2500 0.2500 0.2500
Te 0.7500 0.7500 0.7500
Pd 0.0000 0.0000 0.0000

A plane-wave DFT calculation with meta-GGA SCAN was carried out for Se2ClF at its PBEsol-relaxed geometry.

Output
Total moment: 0.0000 μB per atom
Uncorrected formation energy: 0.499 eV/atom
Crystal system: cubic

Unit cell a=4.5173 b=4.5173 c=4.5173 alpha=60.00 beta=60.00 gamma=60.00
Fractional coordinates of all 4 atoms:
F 0.0000 0.0000 0.0000
Se 0.2500 0.2500 0.2500
Se 0.7500 0.7500 0.7500
Cl 0.5000 0.5000 0.5000

A plane-wave DFT calculation with meta-GGA SCAN was carried out for MgO at its PBEsol-relaxed geometry.

Output
Total moment: 0.0000 μB per atom
Uncorrected formation energy: -2.971 eV/atom
Crystal system: hexagonal

Unit cell a=2.9745 b=2.9745 c=29.5514 alpha=90.00 beta=90.00 gamma=120.00
Fractional coordinates of all 24 atoms:
Mg 0.3333 0.6667 0.3350
Mg 0.6667 0.3333 0.8350
Mg 0.6667 0.3333 0.6650
Mg 0.3333 0.6667 0.1650
Mg 0.3333 0.6667 0.9175
Mg 0.6667 0.3333 0.4175
Mg 0.6667 0.3333 0.0825
Mg 0.3333 0.6667 0.5825
Mg 0.0000 0.0000 0.7500
Mg 0.0000 0.0000 0.2500
Mg 0.0000 0.0000 0.5000
Mg 0.0000 0.0000 0.0000
O 0.3333 0.6667 0.4588
O 0.6667 0.3333 0.9588
O 0.6667 0.3333 0.5412
O 0.3333 0.6667 0.0412
O 0.3333 0.6667 0.7061
O 0.6667 0.3333 0.2061
O 0.6667 0.3333 0.2939
O 0.3333 0.6667 0.7939
O 0.0000 0.0000 0.6237
O 0.0000 0.0000 0.1237
O 0.0000 0.0000 0.3763
O 0.0000 0.0000 0.8763

A plane-wave DFT calculation with meta-GGA SCAN was carried out for Ag3C4 at its PBEsol-relaxed geometry.

Output
Total moment: 0.0000 μB per atom
Calculated formation energy: 34.81 kcal/mol of atoms
Crystal system: hexagonal

Unit cell a=2.6238 b=6.2056 c=6.2056 alpha=120.00 beta=90.00 gamma=90.00
Fractional coordinates of all 7 atoms:
Ag 0.0000 0.0000 0.5000
Ag 0.0000 0.5000 0.0000
Ag 0.0000 0.5000 0.5000
C 0.7483 0.0000 0.0000
C 0.2517 0.0000 0.0000
C 0.5000 0.3333 0.6667
C 0.5000 0.6667 0.3333

A plane-wave DFT calculation with meta-GGA SCAN was carried out for Ho4CrS7 at its PBEsol-relaxed geometry.

Output
Total moment: 0.3050 μB per atom
Uncorrected formation energy: -2.074 eV/atom
Crystal system: monoclinic

Unit cell a=3.7198 b=6.3338 c=11.2061 alpha=105.08 beta=90.00 gamma=107.08
Last column: magnetic moment on the atom in μB.
Fractional coordinates of all 12 atoms:
Ho 0.3109 0.6217 0.2180  0.04
Ho 0.6993 0.3986 0.8066  0.01
Ho 0.0068 0.0135 0.0071  0.01
Ho 0.8837 0.7675 0.5632  0.03
Cr 0.1114 0.2228 0.4244  3.36
S 0.2474 0.4949 0.6331  -0.02
S 0.7198 0.4395 0.3547  0.00
S 0.6715 0.3431 0.0571  0.00
S 0.3444 0.6888 0.9482  0.00
S 0.9738 0.9476 0.2302  -0.03
S 0.0358 0.0716 0.7828  0.00
S 0.4953 0.9906 0.4748  -0.01

A plane-wave DFT calculation with meta-GGA SCAN was carried out for CdB3Pt at its PBEsol-relaxed geometry.

Output
Total moment: 0.0000 μB per atom
Calculated formation energy: 58.03 kcal/mol of atoms
Crystal system: cubic

Unit cell a=4.1842 b=4.1842 c=4.1842 alpha=90.00 beta=90.00 gamma=90.00
Fractional coordinates of all 5 atoms:
B 0.0000 0.5000 0.0000
B 0.0000 0.0000 0.5000
B 0.5000 0.0000 0.0000
Pt 0.5000 0.5000 0.5000
Cd 0.0000 0.0000 0.0000

A plane-wave DFT calculation with meta-GGA SCAN was carried out for Mn2CoIr at its PBEsol-relaxed geometry.

Output
Total moment: 0.1490 μB per atom
Calculated formation energy: -2.76 kcal/mol of atoms
Crystal system: orthorhombic

Unit cell a=2.5565 b=3.9763 c=4.4144 alpha=90.00 beta=90.00 gamma=90.00
Last column: magnetic moment on the atom in μB.
Fractional coordinates of all 4 atoms:
Ir 0.5000 0.5000 0.2118  0.00
Co 0.5000 0.0000 0.5583  1.02
Mn 0.0000 0.0000 0.0223  -2.88
Mn 0.0000 0.5000 0.7075  2.51

A plane-wave DFT calculation with meta-GGA SCAN was carried out for ZrOs2Ru at its PBEsol-relaxed geometry.

Output
Total moment: 0.3550 μB per atom
Relative energy among the computed polymorphs: 8.8 kJ per mole of atoms
Calculated formation energy: 1.59 kcal/mol of atoms
Crystal system: tetragonal

Unit cell a=3.0326 b=4.5023 c=4.5023 alpha=90.00 beta=90.00 gamma=90.00
Last column: magnetic moment on the atom in μB.
Fractional coordinates of all 4 atoms:
Os 0.0000 0.0000 0.5000  0.26
Os 0.0000 0.5000 0.0000  0.26
Ru 0.5000 0.5000 0.5000  0.88
Zr 0.5000 0.0000 0.0000  -0.02

A plane-wave DFT calculation with meta-GGA SCAN was carried out for YMgTe2 at its PBEsol-relaxed geometry.

Output
Total moment: 0.0000 μB per atom
Relative energy among the computed polymorphs: 0.0 kJ per mole of atoms
Uncorrected formation energy: -1.180 eV/atom
Crystal system: orthorhombic

Unit cell a=4.0576 b=4.3661 c=6.3890 alpha=90.00 beta=108.51 gamma=90.00
Fractional coordinates of all 4 atoms:
Y 0.5370 0.0000 0.0741
Mg 0.7472 0.5000 0.4945
Te 0.9769 0.5000 0.9537
Te 0.2389 0.0000 0.4777

A plane-wave DFT calculation with meta-GGA SCAN was carried out for KBaSi2Se at its PBEsol-relaxed geometry.

Output
Total moment: 0.0000 μB per atom
Uncorrected formation energy: 0.212 eV/atom
Crystal system: tetragonal

Unit cell a=5.2380 b=5.2380 c=5.8458 alpha=90.00 beta=90.00 gamma=90.00
Fractional coordinates of all 5 atoms:
K 0.5000 0.5000 0.5000
Si 0.0000 0.5000 0.0000
Si 0.5000 0.0000 0.0000
Ba 0.0000 0.0000 0.5000
Se 0.0000 0.0000 0.0000